Ba2AgHgPt | PBE | optimized geometry

Values from the calculation:
**Magnetic moment**: 0.00 μB/cell
**Formation enthalpy at 0 K**: -1.8 eV/f.u.
**Space group**: P4/mmm (123)

a b c (Å): 6.068 6.068 5.222
angles (deg): 90.00 90.00 90.00
Atoms (fractional coordinates):
Ba1 0.000 0.500 0.000
Ba2 0.500 0.000 0.000
Ag1 0.000 0.000 0.500
Hg1 0.500 0.500 0.500
Pt1 0.000 0.000 0.000